Li3CaCu3: optimized geometry, PBE.

Results
Crystal system: cubic

Lattice parameters (Å, degrees): 6.5627 6.5627 6.5627 90.00 90.00 90.00
Closest atoms and distances in Å follow each position.
Positions (direct):
Cu 0.0000 0.2500 0.5000  4 Li 2.32
Cu 0.5000 0.0000 0.2500  4 Li 2.32
Cu 0.5000 0.0000 0.7500  4 Li 2.32
Li 0.7500 0.0000 0.5000  4 Cu 2.32
Li 0.0000 0.5000 0.7500  4 Cu 2.32
Li 0.5000 0.7500 0.0000  4 Cu 2.32
Li 0.5000 0.2500 0.0000  4 Cu 2.32
Li 0.0000 0.5000 0.2500  4 Cu 2.32
Cu 0.7500 0.5000 0.0000  4 Li 2.32
Li 0.2500 0.0000 0.5000  4 Cu 2.32
Cu 0.0000 0.7500 0.5000  4 Li 2.32
Ca 0.5000 0.5000 0.5000  12 Li 3.67, 12 Cu 3.67
Cu 0.2500 0.5000 0.0000  4 Li 2.32
Ca 0.0000 0.0000 0.0000  12 Li 3.67, 12 Cu 3.67


LiCa4Cu: optimized geometry, PBE.

Results
Crystal system: monoclinic
Offset from the most stable computed form: 129 meV/atom

Lattice parameters (Å, degrees): 5.2311 5.2317 7.5705 89.92 89.97 90.00
Closest atoms and distances in Å follow each position.
Positions (direct):
Cu 0.0008 0.9982 0.4981  8 Ca 3.14-3.16
Ca 0.5014 0.9976 0.7304  2 Cu 3.15-3.16, 2 Li 3.31, 1 Ca 3.52
Ca 0.5012 0.9966 0.2659  2 Cu 3.15, 2 Li 3.31, 1 Ca 3.52
Ca 0.0012 0.4970 0.2659  2 Cu 3.14-3.16, 2 Li 3.31, 1 Ca 3.52
Ca 0.0016 0.4976 0.7304  2 Cu 3.15, 2 Li 3.31, 1 Ca 3.52
Li 0.5016 0.4967 0.9982  8 Ca 3.31


Li2CaCu9: optimized geometry, PBE.

Results
Crystal system: trigonal

Lattice parameters (Å, degrees): 4.9771 4.9771 8.6426 73.27 73.27 60.00
Closest atoms and distances in Å follow each position.
Positions (direct):
Cu 0.0830 0.5861 0.7449  7 Cu 2.46-2.54
Cu 0.4139 0.4139 0.2551  7 Cu 2.46-2.54
Li 0.1478 0.1478 0.5567  12 Cu 2.84-2.92, 3 Li 3.02
Ca 0.0000 0.0000 0.0000  6 Cu 2.87
Cu 0.5861 0.5861 0.7449  7 Cu 2.46-2.54
Cu 0.6671 0.6671 0.9986  6 Cu 2.51-2.54
Cu 0.5861 0.0830 0.7449  7 Cu 2.46-2.54
Cu 0.5000 0.5000 0.5000  6 Cu 2.46
Cu 0.9170 0.4139 0.2551  7 Cu 2.46-2.54
Cu 0.3329 0.3329 0.0014  6 Cu 2.51-2.54
Cu 0.4139 0.9170 0.2551  7 Cu 2.46-2.54
Li 0.8522 0.8522 0.4433  12 Cu 2.84-2.92, 3 Li 3.02


LiCaCu2: optimized geometry, PBE.

Results
Crystal system: trigonal
Offset from the most stable computed form: 0 meV/atom

Lattice parameters (Å, degrees): 4.2394 4.2394 5.5640 67.64 67.64 59.98
Closest atoms and distances in Å follow each position.
Positions (direct):
Cu 0.0524 0.0524 0.8427  3 Li 2.49, 3 Cu 2.62
Ca 0.2500 0.2500 0.2500  8 Cu 2.96-3.18
Li 0.7500 0.7500 0.7500  6 Cu 2.49
Cu 0.4476 0.4476 0.6573  3 Li 2.49, 3 Cu 2.62


Li17Ca2Cu3: optimized geometry, PBE.

Results
Crystal system: trigonal

Lattice parameters (Å, degrees): 7.7773 7.7773 7.7773 83.15 83.15 83.15
Closest atoms and distances in Å follow each position.
Positions (direct):
Li 0.0000 0.0000 0.5000  10 Li 2.91-3.16
Li 0.0973 0.0973 0.0973  13 Li 2.92-3.24
Ca 0.6664 0.6664 0.6664  3 Cu 2.98
Li 0.6618 0.6618 0.1764  1 Cu 2.50
Li 0.5000 0.0000 0.0000  10 Li 2.91-3.16
Li 0.2671 0.7329 0.0000  1 Cu 2.40
Li 0.0000 0.5000 0.0000  10 Li 2.91-3.16
Li 0.0000 0.7329 0.2671  1 Cu 2.40
Li 0.3382 0.8236 0.3382  1 Cu 2.50
Li 0.7329 0.0000 0.2671  1 Cu 2.40
Li 0.2671 0.0000 0.7329  1 Cu 2.40
Cu 0.5000 0.0000 0.5000  4 Li 2.40-2.50
Li 0.6618 0.1764 0.6618  1 Cu 2.50
Li 0.8236 0.3382 0.3382  1 Cu 2.50
Cu 0.5000 0.5000 0.0000  4 Li 2.40-2.50
Cu 0.0000 0.5000 0.5000  4 Li 2.40-2.50
Li 0.0000 0.2671 0.7329  1 Cu 2.40
Li 0.9027 0.9027 0.9027  13 Li 2.92-3.24
Li 0.3382 0.3382 0.8236  1 Cu 2.50
Ca 0.3336 0.3336 0.3336  3 Cu 2.98
Li 0.7329 0.2671 0.0000  1 Cu 2.40
Li 0.1764 0.6618 0.6618  1 Cu 2.50


LiCa6Cu: optimized geometry, PBE.

Results
Crystal system: tetragonal

Lattice parameters (Å, degrees): 5.3353 5.3353 10.2065 74.85 74.85 90.00
Closest atoms and distances in Å follow each position.
Positions (direct):
Ca 0.0968 0.5968 0.8064  2 Li 3.24, 2 Cu 3.24
Ca 0.7483 0.7483 0.5034  12 Ca 3.77-3.97
Cu 0.0000 0.0000 0.0000  8 Ca 3.24
Ca 0.2517 0.2517 0.4966  12 Ca 3.77-3.97
Ca 0.5968 0.0968 0.8064  2 Li 3.24, 2 Cu 3.24
Li 0.5000 0.5000 0.0000  8 Ca 3.24
Ca 0.9032 0.4032 0.1936  2 Li 3.24, 2 Cu 3.24
Ca 0.4032 0.9032 0.1936  2 Li 3.24, 2 Cu 3.24


Number 1: formation enthalpy at 0 K 0.33 eV per atom. Number 2: formation enthalpy at 0 K 0.13 eV per atom. Number 3: formation enthalpy at 0 K -0.09 eV per atom. Number 4: formation enthalpy at 0 K -0.07 eV per atom. Number 5: formation enthalpy at 0 K 0.07 eV per atom. Number 6: formation enthalpy at 0 K 0.01 eV per atom.